(1)
Compound: SrCr2Se
Source: Alexandria via LeMat-Bulk
Functional: GGA-PBE
Structure: optimized geometry

Computed properties:
- crystal system = orthorhombic
- final energy (eV per cell) = -24.029
- magnetization (μB/cell) = 0.00
- D(E_F) (states/eV per cell) = 1.01

Cell lengths 5.230, 5.230, 5.230 Å; angles 130.18, 109.57, 91.14 degrees
Last column: magnetic moment on the atom in μB.
Positions (direct):
Cr 0.925 0.925 0.000  3.53
Cr 0.750 0.250 0.500  -3.58
Se 0.568 0.568 0.000  0.03
Sr 0.257 0.757 0.500  0.04

---

(2)
Compound: Pa2GaGe3
Source: Alexandria via LeMat-Bulk
Functional: GGA-PBE
Structure: optimized geometry

Computed properties:
- crystal system = orthorhombic
- final energy (eV per cell) = -37.672
- magnetization (μB/cell) = 0.00
- D(E_F) (states/eV per cell) = 6.91
- DFT formation energy (eV per atom) = -0.30

Cell lengths 4.047, 3.872, 8.049 Å; angles 90.00, 90.00, 90.00 degrees
Positions (direct):
Pa 0.500 0.000 0.003
Pa 0.000 0.000 0.494
Ga 0.500 0.500 0.666
Ge 0.000 0.500 0.154
Ge 0.000 0.500 0.832
Ge 0.500 0.500 0.351

---

(3)
Compound: Ac2Pd12Au5
Source: Alexandria via LeMat-Bulk
Functional: GGA-PBE
Structure: optimized geometry

Computed properties:
- crystal system = trigonal
- final energy (eV per cell) = -94.272
- magnetization (μB/cell) = 0.00
- D(E_F) (states/eV per cell) = 18.47
- DFT formation energy (eV per atom) = -0.39

Cell lengths 7.140, 7.140, 7.140 Å; angles 82.30, 82.30, 82.30 degrees
Positions (direct):
Ac 0.658 0.658 0.658
Ac 0.342 0.342 0.342
Pd 0.300 0.700 0.000
Pd 0.700 0.000 0.300
Pd 0.000 0.300 0.700
Pd 0.700 0.300 0.000
Pd 0.300 0.000 0.700
Pd 0.000 0.700 0.300
Pd 0.351 0.351 0.842
Pd 0.351 0.842 0.351
Pd 0.842 0.351 0.351
Pd 0.649 0.158 0.649
Pd 0.649 0.649 0.158
Pd 0.158 0.649 0.649
Au 0.000 0.000 0.500
Au 0.000 0.500 0.000
Au 0.500 0.000 0.000
Au 0.901 0.901 0.901
Au 0.099 0.099 0.099

---

(4)
Compound: Cs12SnAu6
Source: Alexandria via LeMat-Bulk
Functional: GGA-PBE
Structure: optimized geometry

Computed properties:
- crystal system = cubic
- final energy (eV per cell) = -38.117
- magnetization (μB/cell) = 0.00
- D(E_F) (states/eV per cell) = 3.71
- DFT formation energy (eV per atom) = -0.22

Cell lengths 11.054, 11.054, 11.054 Å; angles 109.47, 109.47, 109.47 degrees
Positions (direct):
Cs 0.304 0.129 0.825
Cs 0.304 0.480 0.175
Cs 0.696 0.520 0.825
Cs 0.696 0.871 0.175
Cs 0.129 0.825 0.304
Cs 0.480 0.175 0.304
Cs 0.520 0.825 0.696
Cs 0.871 0.175 0.696
Cs 0.825 0.304 0.129
Cs 0.175 0.304 0.480
Cs 0.825 0.696 0.520
Cs 0.175 0.696 0.871
Sn 0.000 0.000 0.000
Au 0.385 0.500 0.885
Au 0.615 0.500 0.115
Au 0.500 0.885 0.385
Au 0.500 0.115 0.615
Au 0.885 0.385 0.500
Au 0.115 0.615 0.500

---

(5)
Compound: NdRe6
Source: Alexandria via LeMat-Bulk
Functional: GGA-PBE
Structure: optimized geometry

Computed properties:
- crystal system = cubic
- final energy (eV per cell) = -72.557
- magnetization (μB/cell) = 0.00
- D(E_F) (states/eV per cell) = 6.10
- DFT formation energy (eV per atom) = 0.99

Cell lengths 5.980, 5.980, 5.980 Å; angles 109.47, 109.47, 109.47 degrees
Positions (direct):
Nd 0.000 0.000 0.000
Re 0.250 0.750 0.500
Re 0.500 0.750 0.250
Re 0.250 0.500 0.750
Re 0.750 0.250 0.500
Re 0.500 0.250 0.750
Re 0.750 0.500 0.250

---

(6)
Compound: K3Al5Br12
Source: Alexandria via LeMat-Bulk
Functional: GGA-PBE
Structure: optimized geometry

Computed properties:
- crystal system = cubic
- final energy (eV per cell) = -244.808
- magnetization (μB/cell) = 0.00
- D(E_F) (states/eV per cell) = 14.03

Cell lengths 15.700, 15.700, 15.700 Å; angles 109.47, 109.47, 109.47 degrees
Positions (direct):
K 0.750 0.375 0.125
K 0.875 0.750 0.125
K 0.375 0.750 0.625
K 0.250 0.125 0.375
K 0.875 0.125 0.250
K 0.375 0.625 0.250
K 0.625 0.375 0.750
K 0.125 0.875 0.750
K 0.750 0.875 0.625
K 0.625 0.250 0.375
K 0.125 0.250 0.875
K 0.250 0.625 0.875
Al 0.125 0.375 0.250
Al 0.000 0.500 0.000
Al 0.000 0.000 0.000
Al 0.375 0.250 0.125
Al 0.500 0.000 0.500
Al 0.500 0.500 0.000
Al 0.125 0.750 0.375
Al 0.750 0.125 0.875
Al 0.750 0.625 0.375
Al 0.375 0.125 0.750
Al 0.625 0.875 0.250
Al 0.500 0.500 0.500
Al 0.500 0.000 0.000
Al 0.000 0.000 0.500
Al 0.250 0.375 0.625
Al 0.250 0.875 0.125
Al 0.000 0.500 0.500
Al 0.875 0.250 0.625
Al 0.625 0.750 0.875
Al 0.875 0.625 0.750
Br 0.708 0.117 0.009
Br 0.301 0.509 0.392
Br 0.991 0.383 0.292
Br 0.509 0.208 0.117
Br 0.591 0.708 0.699
Br 0.991 0.608 0.199
Br 0.301 0.792 0.409
Br 0.108 0.909 0.117
Br 0.608 0.991 0.699
Br 0.708 0.591 0.199
Br 0.792 0.491 0.383
Br 0.801 0.892 0.009
Br 0.117 0.708 0.509
Br 0.383 0.392 0.091
Br 0.091 0.892 0.383
Br 0.409 0.117 0.608
Br 0.091 0.199 0.208
Br 0.491 0.699 0.108
Br 0.801 0.909 0.292
Br 0.117 0.409 0.108
Br 0.383 0.991 0.792
Br 0.608 0.617 0.409
Br 0.892 0.801 0.509
Br 0.792 0.301 0.909
Br 0.392 0.383 0.591
Br 0.108 0.199 0.491
Br 0.208 0.699 0.091
Br 0.199 0.091 0.708
Br 0.617 0.009 0.208
Br 0.883 0.591 0.892
Br 0.509 0.301 0.892
Br 0.591 0.883 0.392
Br 0.909 0.801 0.792
Br 0.909 0.108 0.617
Br 0.883 0.292 0.491
Br 0.199 0.108 0.991
Br 0.617 0.608 0.909
Br 0.392 0.009 0.301
Br 0.292 0.409 0.801
Br 0.208 0.509 0.617
Br 0.892 0.091 0.883
Br 0.699 0.208 0.591
Br 0.491 0.792 0.883
Br 0.009 0.392 0.801
Br 0.409 0.292 0.301
Br 0.009 0.617 0.708
Br 0.699 0.491 0.608
Br 0.292 0.883 0.991

---

(7)
Compound: Nd5AlHg4
Source: Alexandria via LeMat-Bulk
Functional: GGA-PBE
Structure: optimized geometry

Computed properties:
- crystal system = tetragonal
- final energy (eV per cell) = -33.224
- magnetization (μB/cell) = 1.44
- D(E_F) (states/eV per cell) = 11.11
- DFT formation energy (eV per atom) = -0.44

Cell lengths 3.805, 3.805, 19.218 Å; angles 90.00, 90.00, 90.00 degrees
Last column: magnetic moment on the atom in μB.
Positions (direct):
Nd 0.500 0.500 0.094  0.04
Nd 0.500 0.500 0.297  0.20
Nd 0.500 0.500 0.500  0.20
Nd 0.500 0.500 0.703  0.20
Nd 0.500 0.500 0.906  0.04
Al 0.000 0.000 0.000  0.00
Hg 0.000 0.000 0.195  0.01
Hg 0.000 0.000 0.399  0.02
Hg 0.000 0.000 0.601  0.02
Hg 0.000 0.000 0.805  0.01

---

(8)
Compound: NaCoBr3
Source: Alexandria via LeMat-Bulk
Functional: GGA-PBE
Structure: optimized geometry

Computed properties:
- crystal system = orthorhombic
- final energy (eV per cell) = -34.699
- magnetization (μB/cell) = 6.00

Cell lengths 4.047, 6.900, 12.565 Å; angles 105.94, 90.00, 90.00 degrees
Last column: magnetic moment on the atom in μB.
Positions (direct):
Na 0.250 0.035 0.646  0.00
Na 0.750 0.389 0.354  0.00
Co 0.250 0.774 0.248  2.40
Co 0.750 0.526 0.752  2.40
Br 0.750 0.873 0.765  0.10
Br 0.750 0.604 0.156  0.16
Br 0.750 0.287 0.572  0.09
Br 0.250 0.447 0.844  0.16
Br 0.250 0.109 0.235  0.10
Br 0.250 0.715 0.428  0.09

---

(9)
Compound: Mg2PaIn
Source: Alexandria via LeMat-Bulk
Functional: GGA-PBE
Structure: optimized geometry

Computed properties:
- crystal system = trigonal
- final energy (eV per cell) = -14.479
- magnetization (μB/cell) = 0.72
- D(E_F) (states/eV per cell) = 4.49
- DFT formation energy (eV per atom) = 0.24

Cell lengths 3.150, 3.150, 11.641 Å; angles 82.22, 82.22, 60.00 degrees
Last column: magnetic moment on the atom in μB.
Positions (direct):
Mg 0.093 0.093 0.722  0.00
Mg 0.907 0.907 0.278  0.00
Pa 0.000 0.000 0.000  0.59
In 0.500 0.500 0.500  0.00

---

(10)
Compound: LaRh2W
Source: Alexandria via LeMat-Bulk
Functional: GGA-PBE
Structure: optimized geometry

Computed properties:
- crystal system = cubic
- final energy (eV per cell) = -31.884
- magnetization (μB/cell) = 0.00
- D(E_F) (states/eV per cell) = 5.95
- DFT formation energy (eV per atom) = 0.17

Cell lengths 4.724, 4.724, 4.724 Å; angles 60.00, 60.00, 60.00 degrees
Positions (direct):
Rh 0.250 0.250 0.250
Rh 0.750 0.750 0.750
W 0.500 0.500 0.500
La 0.000 0.000 0.000

---

(11)
Compound: Re2POs
Source: Alexandria via LeMat-Bulk
Functional: GGA-PBE
Structure: optimized geometry

Computed properties:
- crystal system = tetragonal
- final energy (eV per cell) = -76.979
- magnetization (μB/cell) = 0.00
- D(E_F) (states/eV per cell) = 5.74
- DFT formation energy (eV per atom) = 0.76

Cell lengths 5.505, 5.505, 6.639 Å; angles 65.51, 65.51, 90.00 degrees
Positions (direct):
Re 0.611 0.125 0.250
Re 0.139 0.625 0.250
Re 0.375 0.389 0.750
Re 0.875 0.861 0.750
Os 0.000 0.000 0.000
Os 0.750 0.250 0.500
P 0.500 0.500 0.000
P 0.250 0.750 0.500

---

(12)
Compound: SrNiP2
Source: Alexandria via LeMat-Bulk
Functional: GGA-PBE
Structure: optimized geometry

Computed properties:
- crystal system = monoclinic
- final energy (eV per cell) = -42.730
- magnetization (μB/cell) = 0.00
- D(E_F) (states/eV per cell) = 2.95
- DFT formation energy (eV per atom) = -0.77

Cell lengths 4.216, 4.294, 8.148 Å; angles 105.33, 90.00, 90.00 degrees
Positions (direct):
Sr 0.250 0.605 0.210
Sr 0.750 0.395 0.790
P 0.250 0.963 0.926
P 0.750 0.037 0.074
P 0.750 0.752 0.501
P 0.250 0.248 0.499
Ni 0.750 0.186 0.372
Ni 0.250 0.814 0.628